6
Lattice="6.056 -1.728 0.000 6.056 1.728 0.000 -4.724 0.000 6.136" Properties=species:S:1:pos:R:3 comment="ZrInAu, relaxed, DFT PBE" crystal_system=monoclinic volume_a3_per_cell=128.4 dft_energy_ha_per_atom=-0.1915 pbc="T T T"
Zr -0.495 0.000 2.322
Zr 7.882 0.000 3.815
In -0.029 0.000 5.652
In 7.416 0.000 0.484
Au 3.116 0.000 1.803
Au 4.271 0.000 4.334

5
Lattice="-2.231 2.231 5.961 2.231 -2.231 5.961 2.231 2.231 -5.961" Properties=species:S:1:pos:R:3 comment="Zr2InAu2, relaxed, DFT PBE" crystal_system=tetragonal volume_a3_per_cell=118.7 dft_energy_ha_per_atom=-0.1983 relative_energy_mev_per_atom=396 pbc="T T T"
Zr 2.231 0.000 2.981
Zr 0.000 2.231 2.981
In 0.000 0.000 0.000
Au 0.000 0.000 4.666
Au 0.000 0.000 7.257

6
Lattice="4.805 0.000 0.000 0.000 3.181 0.000 0.000 0.000 8.210" Properties=species:S:1:pos:R:3 comment="ZrInAu, relaxed, DFT PBE" crystal_system=orthorhombic volume_a3_per_cell=125.5 dft_energy_ha_per_atom=-0.1912 pbc="T T T"
Zr 1.201 0.000 1.860
Zr 3.604 0.000 6.350
In 1.201 1.590 4.810
In 3.604 1.590 3.400
Au 1.201 1.590 7.525
Au 3.604 1.590 0.685

4
Lattice="4.584 -1.645 0.000 4.584 1.645 0.000 -1.104 0.000 5.557" Properties=species:S:1:pos:R:3 comment="ZrInAu2, relaxed, DFT PBE" crystal_system=monoclinic volume_a3_per_cell=83.8 dft_energy_ha_per_atom=-0.1751 pbc="T T T"
Zr 0.000 0.000 0.000
In 4.032 0.000 2.778
Au 1.494 0.000 4.256
Au 6.570 0.000 1.300

6
Lattice="4.039 -2.332 0.000 4.039 2.332 0.000 -2.681 0.000 7.124" Properties=species:S:1:pos:R:3 comment="ZrInAu, relaxed, DFT PBE" crystal_system=monoclinic volume_a3_per_cell=134.2 dft_energy_ha_per_atom=-0.1910 pbc="T T T"
Zr 0.000 0.000 0.000
Zr 0.004 0.000 3.386
In 2.696 0.000 1.796
In 2.703 0.000 5.172
Au 0.011 0.000 6.152
Au 5.390 0.000 2.355

3
Lattice="3.355 0.000 0.000 -1.677 2.905 0.000 0.000 0.000 6.824" Properties=species:S:1:pos:R:3 comment="ZrInAu, relaxed, DFT PBE" crystal_system=trigonal volume_a3_per_cell=66.5 dft_energy_ha_per_atom=-0.1851 pbc="T T T"
Zr 0.000 0.000 0.000
In 1.677 0.968 4.372
Au 0.000 1.937 2.124

8
Lattice="-3.813 3.813 3.075 3.813 -3.813 3.075 3.813 3.813 -3.075" Properties=species:S:1:pos:R:3 comment="ZrInAu2, relaxed, DFT PBE" crystal_system=tetragonal volume_a3_per_cell=178.8 dft_energy_ha_per_atom=-0.1676 pbc="T T T"
Zr 0.000 0.000 0.000
Zr 0.000 3.813 1.537
In 3.813 0.000 1.537
In 0.000 0.000 3.075
Au 5.720 1.900 -0.769
Au 1.900 1.907 0.769
Au -1.907 1.913 2.306
Au 1.913 1.907 3.843

4
Lattice="5.192 -1.582 0.000 5.192 1.582 0.000 -1.127 0.000 5.244" Properties=species:S:1:pos:R:3 comment="Zr2InAu, relaxed, DFT PBE" crystal_system=monoclinic volume_a3_per_cell=86.2 dft_energy_ha_per_atom=-0.2205 pbc="T T T"
Zr 2.261 0.000 1.302
Zr 6.996 0.000 3.942
In -0.564 0.000 2.622
Au 5.192 0.000 0.000

4
Lattice="3.174 0.000 0.000 0.000 4.600 0.000 -1.564 0.000 5.556" Properties=species:S:1:pos:R:3 comment="ZrInAu2, relaxed, DFT PBE" crystal_system=monoclinic volume_a3_per_cell=81.1 dft_energy_ha_per_atom=-0.1758 pbc="T T T"
Zr 0.000 0.000 0.000
In 0.010 2.300 3.602
Au 1.586 2.300 0.926
Au 1.587 0.000 2.658

4
Lattice="3.361 0.000 0.000 0.000 4.010 0.000 0.000 0.000 6.365" Properties=species:S:1:pos:R:3 comment="Zr2InAu, relaxed, DFT PBE" crystal_system=orthorhombic volume_a3_per_cell=85.8 dft_energy_ha_per_atom=-0.2227 pbc="T T T"
Zr 0.000 0.000 0.000
Zr 1.680 2.005 1.708
In 1.680 2.005 4.802
Au 0.000 0.000 3.196

4
Lattice="3.151 0.000 0.000 0.000 3.151 0.000 0.000 0.000 8.437" Properties=species:S:1:pos:R:3 comment="Zr2InAu, relaxed, DFT PBE" crystal_system=tetragonal volume_a3_per_cell=83.8 dft_energy_ha_per_atom=-0.2279 pbc="T T T"
Zr 0.000 0.000 2.006
Zr 0.000 0.000 6.431
In 1.576 1.576 4.219
Au 1.576 1.576 0.000

6
Lattice="4.408 0.000 0.000 0.000 4.254 0.000 -2.196 0.000 6.661" Properties=species:S:1:pos:R:3 comment="ZrInAu, relaxed, DFT PBE" crystal_system=monoclinic volume_a3_per_cell=124.9 dft_energy_ha_per_atom=-0.1917 pbc="T T T"
Zr 0.000 0.000 2.205
Zr 2.212 0.000 4.456
In 0.000 2.127 0.000
In 2.204 0.000 0.000
Au 0.006 2.127 4.333
Au 2.206 2.127 2.328

4
Lattice="3.260 0.000 0.000 0.000 4.250 0.000 -0.012 0.000 6.049" Properties=species:S:1:pos:R:3 comment="Zr2InAu, relaxed, DFT PBE" crystal_system=monoclinic volume_a3_per_cell=83.8 dft_energy_ha_per_atom=-0.2268 pbc="T T T"
Zr 0.002 0.000 1.554
Zr 3.245 0.000 4.496
In 1.630 2.125 0.000
Au 1.624 2.125 3.025

6
Lattice="4.177 0.000 0.000 0.000 4.177 0.000 0.000 0.000 7.434" Properties=species:S:1:pos:R:3 comment="ZrInAu, relaxed, DFT PBE" crystal_system=tetragonal volume_a3_per_cell=129.7 dft_energy_ha_per_atom=-0.1892 pbc="T T T"
Zr 1.044 1.044 1.090
Zr 3.133 3.133 6.344
In 1.044 3.133 3.717
In 3.133 1.044 3.717
Au 1.044 1.044 5.805
Au 3.133 3.133 1.629

4
Lattice="3.389 0.000 0.000 0.000 3.389 0.000 0.000 0.000 7.016" Properties=species:S:1:pos:R:3 comment="ZrInAu2, relaxed, DFT PBE" crystal_system=tetragonal volume_a3_per_cell=80.6 dft_energy_ha_per_atom=-0.1750 pbc="T T T"
Zr 0.000 0.000 0.000
In 1.695 1.695 4.999
Au 0.000 0.000 3.320
Au 1.695 1.695 1.631

5
Lattice="5.317 0.000 0.000 0.000 5.317 0.000 0.000 0.000 5.317" Properties=species:S:1:pos:R:3 comment="ZrInAu3, relaxed, DFT PBE" crystal_system=cubic volume_a3_per_cell=150.4 dft_energy_ha_per_atom=-0.1387 relative_energy_mev_per_atom=789 pbc="T T T"
Zr 0.000 0.000 0.000
In 2.659 2.659 2.659
Au 0.000 0.000 2.659
Au 0.000 2.659 0.000
Au 2.659 0.000 0.000

8
Lattice="4.422 0.000 0.000 0.000 4.422 0.000 0.000 0.000 8.355" Properties=species:S:1:pos:R:3 comment="Zr4InAu3, relaxed, DFT PBE" crystal_system=tetragonal volume_a3_per_cell=163.3 dft_energy_ha_per_atom=-0.2311 pbc="T T T"
Zr 0.000 2.211 2.022
Zr 0.000 2.211 6.333
Zr 2.211 0.000 2.022
Zr 2.211 0.000 6.333
In 0.000 0.000 4.177
Au 0.000 0.000 0.000
Au 2.211 2.211 0.000
Au 2.211 2.211 4.177

10
Lattice="8.103 0.000 0.000 0.000 8.103 0.000 0.000 0.000 3.210" Properties=species:S:1:pos:R:3 comment="ZrIn2Au2, relaxed, DFT PBE" crystal_system=tetragonal volume_a3_per_cell=210.8 dft_energy_ha_per_atom=-0.1554 relative_energy_mev_per_atom=80 pbc="T T T"
Zr 0.000 0.000 0.000
Zr 4.051 4.051 0.000
In 1.096 2.955 0.000
In 2.955 7.006 0.000
In 5.147 1.096 0.000
In 7.006 5.147 0.000
Au 1.339 5.391 1.605
Au 2.712 1.339 1.605
Au 5.391 6.763 1.605
Au 6.763 2.712 1.605

12
Lattice="-2.194 4.219 6.539 2.194 -4.219 6.539 2.194 4.219 -6.539" Properties=species:S:1:pos:R:3 comment="Zr6InAu5, relaxed, DFT PBE" crystal_system=orthorhombic volume_a3_per_cell=242.1 dft_energy_ha_per_atom=-0.2322 pbc="T T T"
Zr 2.194 2.054 -2.213
Zr 0.000 2.007 0.000
Zr 2.194 2.054 2.213
Zr 0.000 2.165 4.325
Zr 0.000 6.432 0.000
Zr 0.000 2.165 8.752
In 0.000 0.000 6.539
Au 2.194 0.000 0.000
Au 0.000 0.000 2.264
Au 2.194 0.000 4.447
Au 0.000 4.219 2.092
Au 0.000 0.000 10.814

12
Lattice="2.677 -8.031 0.000 2.677 8.031 0.000 0.000 0.000 6.141" Properties=species:S:1:pos:R:3 comment="Zr6In5Au, relaxed, DFT PBE" crystal_system=orthorhombic volume_a3_per_cell=264.1 dft_energy_ha_per_atom=-0.2188 pbc="T T T"
Zr 0.000 0.000 1.512
Zr 0.000 0.000 4.628
Zr 2.677 2.652 1.520
Zr 2.677 2.652 4.620
Zr 2.677 -2.652 1.520
Zr 2.677 -2.652 4.620
In 2.677 5.368 0.000
In 2.677 5.342 3.070
In 2.677 0.000 3.070
In 2.677 -5.342 3.070
In 2.677 -5.368 0.000
Au 2.677 0.000 0.000

Number 1: E_form -0.357 eV per atom. Number 2: E_form -0.119 eV per atom. Number 3: E_form -0.347 eV per atom. Number 4: E_form -0.305 eV per atom. Number 5: E_form -0.342 eV per atom. Number 6: E_form -0.183 eV per atom. Number 7: E_form -0.101 eV per atom. Number 8: E_form -0.222 eV per atom. Number 9: E_form -0.325 eV per atom. Number 10: E_form -0.282 eV per atom. Number 11: E_form -0.423 eV per atom. Number 12: E_form -0.362 eV per atom. Number 13: E_form -0.394 eV per atom. Number 14: E_form -0.293 eV per atom. Number 15: E_form -0.303 eV per atom. Number 16: E_form 0.449 eV per atom. Number 17: E_form -0.443 eV per atom. Number 18: E_form -0.113 eV per atom. Number 19: E_form -0.451 eV per atom. Number 20: E_form -0.265 eV per atom.